! Re2TcAu (PBE, relaxed); values from VASP
! energy relative to the lowest polymorph listed for this composition	242	meV/atom
&SYSTEM
  ibrav = 0, nat = 4, ntyp = 3
/
ATOMIC_SPECIES
Re 186.21 Re.upf
Tc 98.00 Tc.upf
Au 196.97 Au.upf
CELL_PARAMETERS angstrom
2.7076 0.0055 0.0000
-1.1491 2.4516 0.0000
0.0000 0.0000 9.5295
ATOMIC_POSITIONS crystal
Re 0.0000 0.0000 0.0166
Re 0.0000 0.0000 0.4834
Tc 0.5000 0.5000 0.2500
Au 0.5000 0.5000 0.7500

***

! ReTc2Au (PBE, relaxed); values from VASP
! energy relative to the lowest polymorph listed for this composition	230	meV/atom
&SYSTEM
  ibrav = 0, nat = 4, ntyp = 3
/
ATOMIC_SPECIES
Tc 98.00 Tc.upf
Au 196.97 Au.upf
Re 186.21 Re.upf
CELL_PARAMETERS angstrom
-2.1584 0.8536 1.3812
2.0276 -0.9178 1.5302
3.6910 8.7522 0.3589
ATOMIC_POSITIONS crystal
Tc 0.5000 0.5000 0.2336
Tc 0.0000 0.0000 0.0007
Au 0.0000 0.0000 0.4988
Re 0.5000 0.5000 0.7670

***

! Re2TcAu (PBE, relaxed); values from VASP
! energy relative to the lowest polymorph listed for this composition	326	meV/atom
&SYSTEM
  ibrav = 0, nat = 4, ntyp = 3
/
ATOMIC_SPECIES
Tc 98.00 Tc.upf
Re 186.21 Re.upf
Au 196.97 Au.upf
CELL_PARAMETERS angstrom
-1.8575 2.5276 1.1623
-1.3136 0.4351 -3.0455
-4.1790 -3.6596 1.2796
ATOMIC_POSITIONS crystal
Tc 0.5000 0.5000 0.2500
Re 0.0000 0.0000 0.0315
Re 0.0000 0.0000 0.4685
Au 0.5000 0.5000 0.7500

***

Number 1: V 63.3 Å³/f.u.. Number 2: V 63.0 Å³/f.u.. Number 3: V 63.8 Å³/f.u..